YSiNF2 after structural relaxation, computed with PBE.

Cell and atoms, written as CIF:
```
data_YSiNF2
_cell_length_a 4.2768
_cell_length_b 4.2768
_cell_length_c 4.6912
_cell_angle_alpha 90.00
_cell_angle_beta 90.00
_cell_angle_gamma 90.00
_space_group_name_H-M_alt 'P 4/m m m'
_space_group_IT_number 123
_space_group_name_Hall '-P 4 2'
loop_
_atom_site_label
_atom_site_type_symbol
_atom_site_fract_x
_atom_site_fract_y
_atom_site_fract_z
Y1 Y 0.0000 0.0000 0.0000
Si1 Si 0.5000 0.5000 0.5000
N1 N 0.0000 0.0000 0.5000
F1 F 0.0000 0.5000 0.0000
```

E_form (uncorrected) = -1.29 eV/atom
Excess energy over the best structure of this formula in the dataset = 0.0538 eV per atom



YSiN2F after structural relaxation, computed with PBE.

Cell and atoms, written as CIF:
```
data_YSiN2F
_cell_length_a 3.7332
_cell_length_b 3.7332
_cell_length_c 3.6669
_cell_angle_alpha 90.00
_cell_angle_beta 90.00
_cell_angle_gamma 90.00
_space_group_name_H-M_alt 'P 4/m m m'
_space_group_IT_number 123
_space_group_name_Hall '-P 4 2'
loop_
_atom_site_label
_atom_site_type_symbol
_atom_site_fract_x
_atom_site_fract_y
_atom_site_fract_z
Y1 Y 0.0000 0.0000 0.0000
Si1 Si 0.5000 0.5000 0.5000
N1 N 0.0000 0.5000 0.5000
F1 F 0.5000 0.5000 0.0000
```

E_form (uncorrected) = -1.40 eV/atom
Excess energy over the best structure of this formula in the dataset = 0.0000 eV per atom



YSiN2F after structural relaxation, computed with PBE.

Cell and atoms, written as CIF:
```
data_YSiN2F
_cell_length_a 4.5114
_cell_length_b 4.5114
_cell_length_c 4.2271
_cell_angle_alpha 90.00
_cell_angle_beta 90.00
_cell_angle_gamma 90.00
_space_group_name_H-M_alt 'P 4/m m m'
_space_group_IT_number 123
_space_group_name_Hall '-P 4 2'
loop_
_atom_site_label
_atom_site_type_symbol
_atom_site_fract_x
_atom_site_fract_y
_atom_site_fract_z
Y1 Y 0.0000 0.0000 0.0000
Si1 Si 0.5000 0.5000 0.5000
N1 N 0.0000 0.5000 0.0000
F1 F 0.0000 0.0000 0.5000
```

E_form (uncorrected) = 0.10 eV/atom
Excess energy over the best structure of this formula in the dataset = 1.4932 eV per atom



YSiNF2 after structural relaxation, computed with PBE.

Cell and atoms, written as CIF:
```
data_YSiNF2
_cell_length_a 4.4178
_cell_length_b 4.4178
_cell_length_c 3.4196
_cell_angle_alpha 90.00
_cell_angle_beta 90.00
_cell_angle_gamma 90.00
_space_group_name_H-M_alt 'P 4/m m m'
_space_group_IT_number 123
_space_group_name_Hall '-P 4 2'
loop_
_atom_site_label
_atom_site_type_symbol
_atom_site_fract_x
_atom_site_fract_y
_atom_site_fract_z
Y1 Y 0.0000 0.0000 0.0000
Si1 Si 0.5000 0.5000 0.5000
N1 N 0.5000 0.5000 0.0000
F1 F 0.0000 0.5000 0.5000
```

E_form (uncorrected) = -1.35 eV/atom
Excess energy over the best structure of this formula in the dataset = 0.0000 eV per atom



ZnSiNF2 after structural relaxation, computed with PBE.

Cell and atoms, written as CIF:
```
data_ZnSiNF2
_cell_length_a 3.8502
_cell_length_b 3.8502
_cell_length_c 4.2690
_cell_angle_alpha 90.00
_cell_angle_beta 90.00
_cell_angle_gamma 90.00
_space_group_name_H-M_alt 'P 4/m m m'
_space_group_IT_number 123
_space_group_name_Hall '-P 4 2'
loop_
_atom_site_label
_atom_site_type_symbol
_atom_site_fract_x
_atom_site_fract_y
_atom_site_fract_z
Zn1 Zn 0.0000 0.0000 0.0000
Si1 Si 0.5000 0.5000 0.5000
N1 N 0.0000 0.0000 0.5000
F1 F 0.0000 0.5000 0.0000
```

E_form (uncorrected) = -0.27 eV/atom
Excess energy over the best structure of this formula in the dataset = 0.6744 eV per atom



ZnSiNF2 after structural relaxation, computed with PBE.

Cell and atoms, written as CIF:
```
data_ZnSiNF2
_cell_length_a 4.1266
_cell_length_b 4.1266
_cell_length_c 3.2942
_cell_angle_alpha 90.00
_cell_angle_beta 90.00
_cell_angle_gamma 90.00
_space_group_name_H-M_alt 'P 4/m m m'
_space_group_IT_number 123
_space_group_name_Hall '-P 4 2'
loop_
_atom_site_label
_atom_site_type_symbol
_atom_site_fract_x
_atom_site_fract_y
_atom_site_fract_z
Zn1 Zn 0.0000 0.0000 0.0000
Si1 Si 0.5000 0.5000 0.5000
N1 N 0.5000 0.5000 0.0000
F1 F 0.0000 0.5000 0.5000
```

E_form (uncorrected) = -0.95 eV/atom
Excess energy over the best structure of this formula in the dataset = 0.0000 eV per atom



Sm5N4F after structural relaxation, computed with PBE.

Cell and atoms, written as CIF:
```
data_Sm5N4F
_cell_length_a 3.5733
_cell_length_b 5.0611
_cell_length_c 18.0946
_cell_angle_alpha 90.00
_cell_angle_beta 90.00
_cell_angle_gamma 90.00
_space_group_name_H-M_alt 'I m m m'
_space_group_IT_number 71
_space_group_name_Hall '-I 2 2'
loop_
_atom_site_label
_atom_site_type_symbol
_atom_site_fract_x
_atom_site_fract_y
_atom_site_fract_z
Sm1 Sm 0.0000 0.0000 0.0000
Sm2 Sm 0.0000 0.0000 0.1998
Sm3 Sm 0.0000 0.0000 0.3883
N1 N 0.0000 0.5000 0.1973
N2 N 0.0000 0.5000 0.4035
F1 F 0.0000 0.5000 0.0000
```

E_form (uncorrected) = -1.73 eV/atom



Sm2NF after structural relaxation, computed with PBE.

Cell and atoms, written as CIF:
```
data_Sm2NF
_cell_length_a 3.5595
_cell_length_b 3.5595
_cell_length_c 18.8185
_cell_angle_alpha 90.00
_cell_angle_beta 90.00
_cell_angle_gamma 120.00
_space_group_name_H-M_alt 'R 3 m'
_space_group_IT_number 160
_space_group_name_Hall 'R 3 -2"'
loop_
_atom_site_label
_atom_site_type_symbol
_atom_site_fract_x
_atom_site_fract_y
_atom_site_fract_z
Sm1 Sm 0.0000 0.0000 0.0000
Sm2 Sm 0.0000 0.0000 0.1934
N1 N 0.0000 0.0000 0.6001
F1 F 0.0000 0.0000 0.4293
```

E_form (uncorrected) = -1.97 eV/atom



Sm4N3F after structural relaxation, computed with PBE.

Cell and atoms, written as CIF:
```
data_Sm4N3F
_cell_length_a 7.2239
_cell_length_b 10.1162
_cell_length_c 3.5680
_cell_angle_alpha 90.00
_cell_angle_beta 90.00
_cell_angle_gamma 90.00
_space_group_name_H-M_alt 'C m m m'
_space_group_IT_number 65
_space_group_name_Hall '-C 2 2'
loop_
_atom_site_label
_atom_site_type_symbol
_atom_site_fract_x
_atom_site_fract_y
_atom_site_fract_z
Sm1 Sm 0.0000 0.2424 0.0000
Sm2 Sm 0.2315 0.0000 0.5000
N1 N 0.0000 0.0000 0.0000
N2 N 0.2500 0.2500 0.5000
F1 F 0.0000 0.5000 0.0000
```

E_form (uncorrected) = -1.79 eV/atom



Sm3N2F after structural relaxation, computed with PBE.

Cell and atoms, written as CIF:
```
data_Sm3N2F
_cell_length_a 3.4906
_cell_length_b 12.3581
_cell_length_c 11.1410
_cell_angle_alpha 90.00
_cell_angle_beta 90.00
_cell_angle_gamma 90.00
_space_group_name_H-M_alt 'C m c m'
_space_group_IT_number 63
_space_group_name_Hall '-C 2c 2'
loop_
_atom_site_label
_atom_site_type_symbol
_atom_site_fract_x
_atom_site_fract_y
_atom_site_fract_z
Sm1 Sm 0.0000 0.1079 0.0848
Sm2 Sm 0.0000 0.3886 0.2500
N1 N 0.0000 0.0006 0.7500
N2 N 0.0000 0.5000 0.0000
F1 F 0.0000 0.2854 0.7500
```

E_form (uncorrected) = -1.63 eV/atom



SmN2F4 after structural relaxation, computed with PBE.

Cell and atoms, written as CIF:
```
data_SmN2F4
_cell_length_a 14.9512
_cell_length_b 4.3429
_cell_length_c 3.7571
_cell_angle_alpha 90.00
_cell_angle_beta 94.09
_cell_angle_gamma 90.00
_space_group_name_H-M_alt 'C 1 2/m 1'
_space_group_IT_number 12
loop_
_space_group_symop_operation_xyz
'x,y,z'
'-x,-y,-z'
'-x,y,-z'
'x,-y,z'
'x+1/2,y+1/2,z'
'-x+1/2,-y+1/2,-z'
'-x+1/2,y+1/2,-z'
'x+1/2,-y+1/2,z'
loop_
_atom_site_label
_atom_site_type_symbol
_atom_site_fract_x
_atom_site_fract_y
_atom_site_fract_z
Sm1 Sm 0.0000 0.0000 0.0000
N1 N 0.1943 0.5000 0.2360
F1 F 0.0761 0.5000 0.0646
F2 F 0.0880 0.0000 0.5311
```

E_form (uncorrected) = -0.91 eV/atom



SmUN2F after structural relaxation, computed with PBE.

Cell and atoms, written as CIF:
```
data_SmUN2F
_cell_length_a 3.4890
_cell_length_b 3.4890
_cell_length_c 11.3218
_cell_angle_alpha 90.00
_cell_angle_beta 90.00
_cell_angle_gamma 90.00
_space_group_name_H-M_alt 'P 4/n m m'
_space_group_IT_number 129
loop_
_space_group_symop_operation_xyz
'x,y,z'
'-x,-y,-z'
'-y+1/2,x,z'
'y+1/2,-x,-z'
'-x+1/2,-y+1/2,z'
'x+1/2,y+1/2,-z'
'y,-x+1/2,z'
'-y,x+1/2,-z'
'x+1/2,-y,-z'
'-x+1/2,y,z'
'-y,-x,-z'
'y,x,z'
'-x,y+1/2,-z'
'x,-y+1/2,z'
'y+1/2,x+1/2,-z'
'-y+1/2,-x+1/2,z'
loop_
_atom_site_label
_atom_site_type_symbol
_atom_site_fract_x
_atom_site_fract_y
_atom_site_fract_z
Sm1 Sm 0.2500 0.2500 0.1493
U1 U 0.2500 0.2500 0.6081
N1 N 0.2500 0.2500 0.3895
N2 N 0.2500 0.2500 0.7876
F1 F 0.2500 0.7500 0.0000
```

E_form (uncorrected) = -2.12 eV/atom



Sn2NF after structural relaxation, computed with PBE.

Cell and atoms, written as CIF:
```
data_Sn2NF
_cell_length_a 6.5911
_cell_length_b 6.5911
_cell_length_c 6.7517
_cell_angle_alpha 90.00
_cell_angle_beta 90.00
_cell_angle_gamma 90.00
_space_group_name_H-M_alt 'I -4 2 d'
_space_group_IT_number 122
_space_group_name_Hall 'I -4 2bw'
loop_
_atom_site_label
_atom_site_type_symbol
_atom_site_fract_x
_atom_site_fract_y
_atom_site_fract_z
Sn1 Sn 0.2002 0.7500 0.1250
N1 N 0.0000 0.0000 0.0000
F1 F 0.0000 0.0000 0.5000
```

E_form (uncorrected) = -0.37 eV/atom
Excess energy over the best structure of this formula in the dataset = 0.0000 eV per atom



SnN2F2 after structural relaxation, computed with PBE.

Cell and atoms, written as CIF:
```
data_SnN2F2
_cell_length_a 4.2783
_cell_length_b 4.2783
_cell_length_c 4.0083
_cell_angle_alpha 90.00
_cell_angle_beta 90.00
_cell_angle_gamma 90.00
_space_group_name_H-M_alt 'P 4/m m m'
_space_group_IT_number 123
_space_group_name_Hall '-P 4 2'
loop_
_atom_site_label
_atom_site_type_symbol
_atom_site_fract_x
_atom_site_fract_y
_atom_site_fract_z
Sn1 Sn 0.0000 0.0000 0.0000
N1 N 0.0000 0.0000 0.5000
N2 N 0.5000 0.5000 0.5000
F1 F 0.0000 0.5000 0.0000
```

E_form (uncorrected) = 0.39 eV/atom
Excess energy over the best structure of this formula in the dataset = 1.6772 eV per atom



SnNF after structural relaxation, computed with PBE.

Cell and atoms, written as CIF:
```
data_SnNF
_cell_length_a 4.1337
_cell_length_b 3.8725
_cell_length_c 5.6128
_cell_angle_alpha 90.00
_cell_angle_beta 111.13
_cell_angle_gamma 90.00
_space_group_name_H-M_alt 'P 1 21 1'
_space_group_IT_number 4
loop_
_space_group_symop_operation_xyz
'x,y,z'
'-x,y+1/2,-z'
loop_
_atom_site_label
_atom_site_type_symbol
_atom_site_fract_x
_atom_site_fract_y
_atom_site_fract_z
Sn1 Sn 0.1699 0.0000 0.3373
N1 N 0.2659 0.4996 0.5321
F1 F 0.1953 0.7564 0.9981
```

E_form (uncorrected) = -0.80 eV/atom



SnNF3 after structural relaxation, computed with PBE.

Cell and atoms, written as CIF:
```
data_SnNF3
_cell_length_a 4.0799
_cell_length_b 4.0799
_cell_length_c 4.0799
_cell_angle_alpha 90.00
_cell_angle_beta 90.00
_cell_angle_gamma 90.00
_space_group_name_H-M_alt 'P m -3 m'
_space_group_IT_number 221
_space_group_name_Hall '-P 4 2 3'
loop_
_atom_site_label
_atom_site_type_symbol
_atom_site_fract_x
_atom_site_fract_y
_atom_site_fract_z
Sn1 Sn 0.0000 0.0000 0.0000
N1 N 0.5000 0.5000 0.5000
F1 F 0.0000 0.5000 0.5000
```

E_form (uncorrected) = -0.18 eV/atom
Excess energy over the best structure of this formula in the dataset = 0.9880 eV per atom



SnN2F6 after structural relaxation, computed with PBE.

Cell and atoms, written as CIF:
```
data_SnN2F6
_cell_length_a 8.0372
_cell_length_b 8.0372
_cell_length_c 8.0372
_cell_angle_alpha 90.00
_cell_angle_beta 90.00
_cell_angle_gamma 90.00
_space_group_name_H-M_alt 'F m -3 m'
_space_group_IT_number 225
_space_group_name_Hall '-F 4 2 3'
loop_
_atom_site_label
_atom_site_type_symbol
_atom_site_fract_x
_atom_site_fract_y
_atom_site_fract_z
Sn1 Sn 0.0000 0.0000 0.0000
N1 N 0.2500 0.2500 0.2500
F1 F 0.0000 0.0000 0.2490
```

E_form (uncorrected) = -0.07 eV/atom
Excess energy over the best structure of this formula in the dataset = 0.0275 eV per atom



SnNF after structural relaxation, computed with PBE.

Cell and atoms, written as CIF:
```
data_SnNF
_cell_length_a 4.0493
_cell_length_b 4.0493
_cell_length_c 5.0851
_cell_angle_alpha 90.00
_cell_angle_beta 90.00
_cell_angle_gamma 90.00
_space_group_name_H-M_alt 'P 4/n m m'
_space_group_IT_number 129
loop_
_space_group_symop_operation_xyz
'x,y,z'
'-x,-y,-z'
'-y+1/2,x,z'
'y+1/2,-x,-z'
'-x+1/2,-y+1/2,z'
'x+1/2,y+1/2,-z'
'y,-x+1/2,z'
'-y,x+1/2,-z'
'x+1/2,-y,-z'
'-x+1/2,y,z'
'-y,-x,-z'
'y,x,z'
'-x,y+1/2,-z'
'x,-y+1/2,z'
'y+1/2,x+1/2,-z'
'-y+1/2,-x+1/2,z'
loop_
_atom_site_label
_atom_site_type_symbol
_atom_site_fract_x
_atom_site_fract_y
_atom_site_fract_z
Sn1 Sn 0.2500 0.2500 0.1536
N1 N 0.2500 0.7500 0.0000
F1 F 0.2500 0.2500 0.5448
```

E_form (uncorrected) = -0.83 eV/atom



SnN2F2 after structural relaxation, computed with PBE.

Cell and atoms, written as CIF:
```
data_SnN2F2
_cell_length_a 3.6581
_cell_length_b 3.6581
_cell_length_c 4.6654
_cell_angle_alpha 90.00
_cell_angle_beta 90.00
_cell_angle_gamma 90.00
_space_group_name_H-M_alt 'P 4/m m m'
_space_group_IT_number 123
_space_group_name_Hall '-P 4 2'
loop_
_atom_site_label
_atom_site_type_symbol
_atom_site_fract_x
_atom_site_fract_y
_atom_site_fract_z
Sn1 Sn 0.0000 0.0000 0.0000
N1 N 0.0000 0.5000 0.5000
F1 F 0.5000 0.5000 0.0000
F2 F 0.5000 0.5000 0.5000
```

E_form (uncorrected) = 1.19 eV/atom
Excess energy over the best structure of this formula in the dataset = 2.4727 eV per atom



Sn2NF after structural relaxation, computed with PBE.

Cell and atoms, written as CIF:
```
data_Sn2NF
_cell_length_a 6.3857
_cell_length_b 6.3857
_cell_length_c 6.3857
_cell_angle_alpha 90.00
_cell_angle_beta 90.00
_cell_angle_gamma 90.00
_space_group_name_H-M_alt 'F m -3 m'
_space_group_IT_number 225
_space_group_name_Hall '-F 4 2 3'
loop_
_atom_site_label
_atom_site_type_symbol
_atom_site_fract_x
_atom_site_fract_y
_atom_site_fract_z
Sn1 Sn 0.2500 0.2500 0.2500
N1 N 0.0000 0.0000 0.0000
F1 F 0.0000 0.0000 0.5000
```

E_form (uncorrected) = -0.08 eV/atom
Excess energy over the best structure of this formula in the dataset = 0.2887 eV per atom